Dy4ErMg2 | PBE | optimized geometry

Computed properties:
The density is 7.0 g/cm3. The value obtained for the formation energy is 0.07 eV per atom. The polymorph energy (0 for the lowest one) is 83 meV per atom.

```
data_Dy4ErMg2
_chemical_formula_sum 'Dy4 Er1 Mg2'
_space_group_name_H-M_alt 'P 1'
_space_group_IT_number 1
_cell_length_a 5.429
_cell_length_b 5.429
_cell_length_c 8.605
_cell_angle_alpha 71.61
_cell_angle_beta 71.61
_cell_angle_gamma 60.00
loop_
_space_group_symop_operation_xyz
'x,y,z'
loop_
_atom_site_label
_atom_site_type_symbol
_atom_site_fract_x
_atom_site_fract_y
_atom_site_fract_z
Dy1 Dy 0.793 0.793 0.621
Dy2 Dy 0.068 0.068 0.795
Dy3 Dy 0.207 0.207 0.379
Dy4 Dy 0.932 0.932 0.205
Er1 Er 0.500 0.500 0.500
Mg1 Mg 0.351 0.351 0.947
Mg2 Mg 0.649 0.649 0.053
```


ErPaFeRe | PBE | optimized geometry

Computed properties:
The density is 13.6 g/cm3. The value obtained for the formation energy is 0.04 eV per atom.

```
data_ErPaFeRe
_chemical_formula_sum 'Er1 Pa1 Fe1 Re1'
_space_group_name_H-M_alt 'P 1'
_space_group_IT_number 1
_cell_length_a 4.798
_cell_length_b 4.798
_cell_length_c 4.798
_cell_angle_alpha 60.00
_cell_angle_beta 60.00
_cell_angle_gamma 60.00
loop_
_space_group_symop_operation_xyz
'x,y,z'
loop_
_atom_site_label
_atom_site_type_symbol
_atom_site_fract_x
_atom_site_fract_y
_atom_site_fract_z
Fe1 Fe 0.250 0.250 0.250
Pa1 Pa 0.500 0.500 0.500
Er1 Er 0.000 0.000 0.000
Re1 Re 0.750 0.750 0.750
```


SmY3Cd | PBE | optimized geometry

Computed properties:
The density is 5.7 g/cm3. The value obtained for the formation energy is -0.12 eV per atom. The polymorph energy (0 for the lowest one) is 0 meV per atom.

```
data_SmY3Cd
_chemical_formula_sum 'Sm2 Y6 Cd2'
_space_group_name_H-M_alt 'P 1'
_space_group_IT_number 1
_cell_length_a 3.707
_cell_length_b 6.770
_cell_length_c 12.696
_cell_angle_alpha 86.84
_cell_angle_beta 90.00
_cell_angle_gamma 74.10
loop_
_space_group_symop_operation_xyz
'x,y,z'
loop_
_atom_site_label
_atom_site_type_symbol
_atom_site_fract_x
_atom_site_fract_y
_atom_site_fract_z
Y1 Y 0.635 0.731 0.977
Y2 Y 0.365 0.269 0.023
Y3 Y 0.144 0.712 0.449
Y4 Y 0.964 0.071 0.810
Y5 Y 0.856 0.288 0.551
Y6 Y 0.036 0.929 0.190
Cd1 Cd 0.444 0.112 0.372
Cd2 Cd 0.556 0.888 0.628
Sm1 Sm 0.767 0.465 0.248
Sm2 Sm 0.233 0.535 0.752
```


Ce2TmPd | PBE | optimized geometry

Computed properties:
The density is 9.1 g/cm3. The value obtained for the formation energy is -0.03 eV per atom. The polymorph energy (0 for the lowest one) is 206 meV per atom.

```
data_Ce2TmPd
_chemical_formula_sum 'Ce2 Tm1 Pd1'
_space_group_name_H-M_alt 'P 1'
_space_group_IT_number 1
_cell_length_a 5.226
_cell_length_b 5.226
_cell_length_c 5.240
_cell_angle_alpha 60.09
_cell_angle_beta 60.09
_cell_angle_gamma 60.00
loop_
_space_group_symop_operation_xyz
'x,y,z'
loop_
_atom_site_label
_atom_site_type_symbol
_atom_site_fract_x
_atom_site_fract_y
_atom_site_fract_z
Ce1 Ce 0.750 0.750 0.751
Ce2 Ce 0.250 0.250 0.249
Tm1 Tm 0.500 0.500 0.500
Pd1 Pd 0.000 0.000 0.000
```


CePm6Tm4 | PBE | optimized geometry

Computed properties:
The density is 7.7 g/cm3. The value obtained for the formation energy is 0.14 eV per atom.

```
data_CePm6Tm4
_chemical_formula_sum 'Ce2 Pm12 Tm8'
_space_group_name_H-M_alt 'P 1'
_space_group_IT_number 1
_cell_length_a 5.796
_cell_length_b 5.622
_cell_length_c 25.883
_cell_angle_alpha 90.00
_cell_angle_beta 90.00
_cell_angle_gamma 121.03
loop_
_space_group_symop_operation_xyz
'x,y,z'
loop_
_atom_site_label
_atom_site_type_symbol
_atom_site_fract_x
_atom_site_fract_y
_atom_site_fract_z
Pm1 Pm 0.871 0.743 0.680
Pm2 Pm 0.871 0.743 0.820
Pm3 Pm 0.129 0.257 0.320
Pm4 Pm 0.129 0.257 0.180
Pm5 Pm 0.195 0.391 0.599
Pm6 Pm 0.195 0.391 0.901
Pm7 Pm 0.540 0.080 0.750
Pm8 Pm 0.805 0.609 0.099
Pm9 Pm 0.805 0.609 0.401
Pm10 Pm 0.460 0.920 0.250
Pm11 Pm 0.500 0.000 0.000
Pm12 Pm 0.500 0.000 0.500
Ce1 Ce 0.797 0.594 0.250
Ce2 Ce 0.203 0.406 0.750
Tm1 Tm 0.463 0.925 0.124
Tm2 Tm 0.846 0.692 0.957
Tm3 Tm 0.463 0.925 0.376
Tm4 Tm 0.154 0.308 0.043
Tm5 Tm 0.537 0.075 0.876
Tm6 Tm 0.537 0.075 0.624
Tm7 Tm 0.154 0.308 0.457
Tm8 Tm 0.846 0.692 0.543
```


Sm3Ho4Er4 | PBE | optimized geometry

Computed properties:
The density is 8.2 g/cm3. The value obtained for the formation energy is 0.17 eV per atom. The polymorph energy (0 for the lowest one) is 17 meV per atom.

```
data_Sm3Ho4Er4
_chemical_formula_sum 'Sm3 Ho4 Er4'
_space_group_name_H-M_alt 'P 1'
_space_group_IT_number 1
_cell_length_a 3.518
_cell_length_b 11.169
_cell_length_c 10.862
_cell_angle_alpha 120.94
_cell_angle_beta 99.32
_cell_angle_gamma 90.00
loop_
_space_group_symop_operation_xyz
'x,y,z'
loop_
_atom_site_label
_atom_site_type_symbol
_atom_site_fract_x
_atom_site_fract_y
_atom_site_fract_z
Er1 Er 0.328 0.085 0.657
Er2 Er 0.672 0.428 0.343
Er3 Er 0.328 0.572 0.657
Er4 Er 0.672 0.915 0.343
Sm1 Sm 0.891 0.891 0.782
Sm2 Sm 0.000 0.500 0.000
Sm3 Sm 0.109 0.109 0.218
Ho1 Ho 0.500 0.791 0.000
Ho2 Ho 0.219 0.719 0.437
Ho3 Ho 0.781 0.281 0.563
Ho4 Ho 0.500 0.209 0.000
```


La2Tb3YEr6 | PBE | optimized geometry

Computed properties:
The density is 8.0 g/cm3. The value obtained for the formation energy is 0.02 eV per atom.

```
data_La2Tb3YEr6
_chemical_formula_sum 'La2 Tb3 Y1 Er6'
_space_group_name_H-M_alt 'P 1'
_space_group_IT_number 1
_cell_length_a 6.183
_cell_length_b 6.183
_cell_length_c 11.773
_cell_angle_alpha 95.00
_cell_angle_beta 95.00
_cell_angle_gamma 119.98
loop_
_space_group_symop_operation_xyz
'x,y,z'
loop_
_atom_site_label
_atom_site_type_symbol
_atom_site_fract_x
_atom_site_fract_y
_atom_site_fract_z
Er1 Er 0.915 0.582 0.746
Er2 Er 0.753 0.753 0.254
Er3 Er 0.247 0.247 0.746
Er4 Er 0.085 0.418 0.254
Er5 Er 0.418 0.085 0.254
Er6 Er 0.582 0.915 0.746
Tb1 Tb 0.167 0.833 0.500
Tb2 Tb 0.833 0.167 0.500
Tb3 Tb 0.500 0.500 0.500
Y1 Y 0.000 0.000 0.000
La1 La 0.666 0.334 0.000
La2 La 0.334 0.666 0.000
```


CeMnGe2 | PBE | optimized geometry

Computed properties:
The density is 7.2 g/cm3. The value obtained for the formation energy is -0.47 eV per atom.

```
data_CeMnGe2
_chemical_formula_sum 'Ce1 Mn1 Ge2'
_space_group_name_H-M_alt 'P 1'
_space_group_IT_number 1
_cell_length_a 4.191
_cell_length_b 4.190
_cell_length_c 5.668
_cell_angle_alpha 68.31
_cell_angle_beta 68.30
_cell_angle_gamma 59.99
loop_
_space_group_symop_operation_xyz
'x,y,z'
loop_
_atom_site_label
_atom_site_type_symbol
_atom_site_fract_x
_atom_site_fract_y
_atom_site_fract_z
Ce1 Ce 0.750 0.750 0.750
Ge1 Ge 0.529 0.529 0.414
Ge2 Ge 0.971 0.971 0.086
Mn1 Mn 0.250 0.250 0.250
```


It is found that the VASP energy values, taken in the order of the records, are -25.7, -34.8, -51.2, -21.6, -101.6, -48.8, -57.3, -26.2 eV for the cell shown.